## DyGa2Ag (PBE)

Data for DyGa2Ag after structural relaxation.

Summary:
For the formation energy, the calculation gives -0.394 eV per atom.

Cell lengths 4.399, 4.399, 4.150 Å; angles 90.00, 90.00, 90.00 degrees
Space group P4/mmm (No. 123)
Inequivalent atoms, fractional coordinates:
Dy 0.000 0.000 0.000 x1
Ga 0.000 0.500 0.500 x2
Ag 0.500 0.500 0.000 x1

***

## ScIrO (PBE)

Data for ScIrO after structural relaxation.

Cell lengths 3.642, 3.653, 6.837 Å; angles 90.00, 90.00, 90.00 degrees
Space group Pmmn (No. 59, origin choice 2)
Inequivalent atoms, fractional coordinates:
Sc 0.250 0.250 0.146 x2
Ir 0.250 0.750 0.500 x2
O 0.250 0.750 0.001 x2

***

## CaInBr2 (PBE)

Data for CaInBr2 after structural relaxation.

Summary:
The calculation puts the distance to the lowest polymorph of the same formula at 0.12 kcal/mol of atoms.

Cell lengths 4.102, 7.011, 10.855 Å; angles 82.60, 82.05, 89.99 degrees
Space group P1 (No. 1)
Inequivalent atoms, fractional coordinates:
Ca 0.000 0.000 0.000 x1
Ca 0.500 0.500 0.000 x1
In 0.056 0.731 0.500 x1
In 0.922 0.229 0.501 x1
Br 0.057 0.697 0.843 x1
Br 0.442 0.803 0.157 x1
Br 0.558 0.197 0.843 x1
Br 0.943 0.304 0.157 x1

***

## KTc3Rh (PBE)

Data for KTc3Rh after structural relaxation.

Summary:
For the formation energy, the calculation gives 3.076 eV per atom. The calculation puts the distance to the lowest polymorph of the same formula at 28.72 kcal/mol of atoms.

Cell lengths 4.403, 4.403, 4.403 Å; angles 90.00, 90.00, 90.00 degrees
Space group Pm-3m (No. 221)
Inequivalent atoms, fractional coordinates:
K 0.000 0.000 0.000 x1
Tc 0.000 0.000 0.500 x3
Rh 0.500 0.500 0.500 x1

***

## LiDyTh (PBE)

Data for LiDyTh after structural relaxation.

Summary:
For the formation energy, the calculation gives 0.136 eV per atom. The calculation puts the distance to the lowest polymorph of the same formula at 1.92 kcal/mol of atoms.

Cell lengths 3.4782, 3.4782, 8.4561 Å; angles 90.00, 90.00, 120.00 degrees
Space group P3m1 (No. 156)
Inequivalent atoms, fractional coordinates:
Li 0.0000 0.0000 0.0000 x1
Dy 0.3333 0.6667 0.6710 x1
Th 0.6667 0.3333 0.3355 x1

***

## AcCeBi2 (PBE)

Data for AcCeBi2 after structural relaxation.

Summary:
For the formation energy, the calculation gives -0.764 eV per atom. The calculation puts the distance to the lowest polymorph of the same formula at 2.20 kcal/mol of atoms.

Cell lengths 4.6913, 4.6913, 8.1779 Å; angles 90.00, 90.00, 120.00 degrees
Space group P-3m1 (No. 164)
Inequivalent atoms, fractional coordinates:
Ac 0.0000 0.0000 0.0000 x1
Ce 0.0000 0.0000 0.5000 x1
Bi 0.3333 0.6667 0.7339 x2

***

## HoEr2Tl (PBE)

Data for HoEr2Tl after structural relaxation.

Summary:
For the formation energy, the calculation gives -0.108 eV per atom. The calculation puts the distance to the lowest polymorph of the same formula at 1.69 kcal/mol of atoms.

Cell lengths 3.5296, 3.5296, 32.8913 Å; angles 90.00, 90.00, 120.00 degrees
Space group R-3m (No. 166, hexagonal axes)
Inequivalent atoms, fractional coordinates:
Ho 0.0000 0.0000 0.0000 x3
Er 0.0000 0.0000 0.2468 x6
Tl 0.0000 0.0000 0.5000 x3

***

## MgCd2Au2 (PBE)

Data for MgCd2Au2 after structural relaxation.

Summary:
For the formation energy, the calculation gives -0.322 eV per atom. The calculation puts the distance to the lowest polymorph of the same formula at 0.00 kcal/mol of atoms.

Cell lengths 3.122, 18.633, 3.486 Å; angles 90.00, 90.00, 90.00 degrees
Space group Cmmm (No. 65)
Inequivalent atoms, fractional coordinates:
Mg 0.000 0.000 0.000 x2
Cd 0.000 0.183 0.000 x4
Au 0.000 0.416 0.500 x4

***

## InHg2GeBr (PBE)

Data for InHg2GeBr after structural relaxation.

Cell lengths 5.311, 5.311, 5.718 Å; angles 90.00, 90.00, 90.00 degrees
Space group P4/mmm (No. 123)
Inequivalent atoms, fractional coordinates:
In 0.000 0.000 0.000 x1
Hg 0.000 0.500 0.500 x2
Ge 0.000 0.000 0.500 x1
Br 0.500 0.500 0.000 x1

***

## YCd2W (PBE)

Data for YCd2W after structural relaxation.

Summary:
For the formation energy, the calculation gives 0.458 eV per atom. The calculation puts the distance to the lowest polymorph of the same formula at 3.40 kcal/mol of atoms.

Cell lengths 3.712, 3.712, 6.211 Å; angles 90.00, 90.00, 90.00 degrees
Space group P4/mmm (No. 123)
Inequivalent atoms, fractional coordinates:
Y 0.000 0.000 0.000 x1
Cd 0.500 0.500 0.276 x2
W 0.000 0.000 0.500 x1

***

## HgTe2Rh (PBE)

Data for HgTe2Rh after structural relaxation.

Summary:
The calculation puts the distance to the lowest polymorph of the same formula at 6.41 kcal/mol of atoms.

Cell lengths 3.205, 3.205, 9.561 Å; angles 90.00, 90.00, 90.00 degrees
Space group P4mm (No. 99)
Inequivalent atoms, fractional coordinates:
Hg 0.000 0.000 0.000 x1
Te 0.000 0.000 0.367 x1
Te 0.500 0.500 0.713 x1
Rh 0.500 0.500 0.215 x1

***

| no. | total energy (Ry/atom) | total moment (μB per atom) |
| --- | --- | --- |
| 1 | -0.277 | 0.00 |
| 2 | -0.635 | 0.00 |
| 3 | -0.242 | 0.00 |
| 4 | -0.355 | 0.00 |
| 5 | -0.331 | 0.00 |
| 6 | -0.383 | 0.23 |
| 7 | -0.303 | 0.00 |
| 8 | -0.170 | 0.00 |
| 9 | -0.147 | 0.00 |
| 10 | -0.357 | 0.00 |
| 11 | -0.256 | 0.00 |